## w
DFT (PBE-GGA) results for crystalline SiSb2Te at its relaxed geometry.

Magnetization   0.00 μB/f.u.
Density of states at the Fermi level   1.34 states/eV per cell

Geometry as POSCAR:
```
SiSb2Te
1.0
5.978 0.067 0.022
-2.642 5.364 0.022
0.567 0.923 3.130
Sb Si Te
2 1 1
Cartesian
0.000 0.000 0.000 Sb
1.668 2.715 0.022 Sb
3.273 0.495 1.576 Si
-1.037 3.143 1.576 Te
```



## x
DFT (PBE-GGA) results for crystalline SiSb2Te at its relaxed geometry.

Magnetization   0.00 μB/f.u.
Density of states at the Fermi level   0.33 states/eV per cell

Geometry as POSCAR:
```
SiSb2Te
1.0
-7.679 -3.006 1.264
-5.548 -6.225 -0.249
-5.265 -5.257 3.774
Sb Si Te
2 1 1
Cartesian
-18.128 -14.204 4.695 Sb
-4.532 -3.551 1.174 Sb
-9.227 -7.230 2.390 Si
-14.341 -11.236 3.714 Te
```



Best to worst by energy: x, w.



## w
DFT (PBE-GGA) results for crystalline Mo2RuAu at its relaxed geometry.

Magnetization   0.00 μB/f.u.
Density of states at the Fermi level   3.62 states/eV per cell

Geometry as POSCAR:
```
Mo2RuAu
1.0
4.920 -0.004 0.000
1.813 4.574 0.000
-3.368 -2.283 2.766
Au Mo Ru
1 2 1
Cartesian
2.460 -0.001 1.383 Au
6.733 4.570 0.000 Mo
3.367 2.285 0.000 Mo
0.906 2.288 1.383 Ru
```



## x
DFT (PBE-GGA) results for crystalline Mo2RuAu at its relaxed geometry.

Magnetization   0.00 μB/f.u.
Density of states at the Fermi level   4.07 states/eV per cell

Geometry as POSCAR:
```
Mo2RuAu
1.0
4.829 0.001 0.002
1.521 4.583 -0.002
-3.176 -2.291 2.830
Au Mo Ru
1 2 1
Cartesian
2.414 0.001 1.416 Au
6.350 4.584 0.000 Mo
0.761 2.292 1.414 Mo
3.175 2.292 0.000 Ru
```



Best to worst by energy: w, x.



## w
DFT (PBE-GGA) results for crystalline ZnCdSb at its relaxed geometry.

Magnetization   0.00 μB/f.u.
Density of states at the Fermi level   0.62 states/eV per cell

Geometry as POSCAR:
```
ZnCdSb
1.0
4.392 0.212 -0.403
1.252 4.215 -0.405
-0.721 -0.559 9.252
Zn Cd Sb
2 2 2
Cartesian
2.720 3.797 7.535 Zn
4.291 1.792 7.536 Zn
4.123 3.278 4.253 Cd
3.607 2.868 1.568 Cd
0.147 0.155 0.615 Sb
1.940 1.567 6.011 Sb
```



## x
DFT (PBE-GGA) results for crystalline ZnCdSb at its relaxed geometry.

Magnetization   0.00 μB/f.u.
Density of states at the Fermi level   2.54 states/eV per cell

Geometry as POSCAR:
```
ZnCdSb
1.0
4.844 0.000 0.000
2.422 4.195 0.000
2.422 1.398 3.955
Cd Sb Zn
1 1 1
Cartesian
4.844 2.797 1.978 Cd
2.422 1.398 0.989 Sb
0.000 0.000 0.000 Zn
```



Best to worst by energy: w, x.